Compound: Li2Hf5As5
Source: Alexandria via LeMat-Bulk
Functional: GGA-PBE
Structure: relaxed

## Properties
DFT total energy ... -7.011 eV/atom

a b c (Å): 8.7658 8.7658 6.2158
angles (deg): 90.00 90.00 90.00
Space group I4mm (No. 107)
One atom of each set of equivalent atoms:
Li  0.0000  0.5000  0.0000 (multiplicity 4)
Hf  0.0000  0.0000  0.3833 (multiplicity 2)
Hf  0.2064  0.2064  0.9326 (multiplicity 8)
As  0.0000  0.0000  0.7994 (multiplicity 2)
As  0.0000  0.2889  0.2464 (multiplicity 8)